1.
Computed, not measured: an optimized crystal structure of Y2MnCl at the PBEsol level of DFT.

abc: 7.0601 7.0601 7.0601
angles: 90.00 90.00 90.00
With the nearest neighbours (Å) after each atom.
Positions (direct):
Y 0.2500 0.2500 0.2500  4 Cl 3.06, 4 Mn 3.06
Y 0.2500 0.2500 0.7500  4 Cl 3.06, 4 Mn 3.06
Y 0.2500 0.7500 0.2500  4 Cl 3.06, 4 Mn 3.06
Y 0.2500 0.7500 0.7500  4 Cl 3.06, 4 Mn 3.06
Y 0.7500 0.2500 0.2500  4 Cl 3.06, 4 Mn 3.06
Y 0.7500 0.2500 0.7500  4 Cl 3.06, 4 Mn 3.06
Y 0.7500 0.7500 0.2500  4 Cl 3.06, 4 Mn 3.06
Y 0.7500 0.7500 0.7500  4 Cl 3.06, 4 Mn 3.06
Mn 0.0000 0.0000 0.0000  8 Y 3.06
Mn 0.0000 0.5000 0.5000  8 Y 3.06
Mn 0.5000 0.0000 0.5000  8 Y 3.06
Mn 0.5000 0.5000 0.0000  8 Y 3.06
Cl 0.0000 0.0000 0.5000  8 Y 3.06
Cl 0.0000 0.5000 0.0000  8 Y 3.06
Cl 0.5000 0.0000 0.0000  8 Y 3.06
Cl 0.5000 0.5000 0.5000  8 Y 3.06

SG = Fm-3m, No. 225
energy above the lowest structure with this stoichiometry = 241 meV/atom
E_form (uncorrected) = -44 meV per atom

***

2.
Computed, not measured: an optimized crystal structure of Mn2AsIr at the PBEsol level of DFT.

abc: 2.9707 2.9707 5.8200
angles: 90.00 90.00 90.00
With the nearest neighbours (Å) after each atom.
Positions (direct):
Mn 0.0000 0.0000 0.0000  4 Mn 2.53, 4 Ir 2.58, 1 As 2.62
Mn 0.5000 0.5000 0.2413  4 As 2.43, 4 Mn 2.53
As 0.0000 0.0000 0.4504  5 Mn 2.43-2.62, 4 Ir 2.71
Ir 0.5000 0.5000 0.7437  4 Mn 2.58, 4 As 2.71

SG = P4mm, No. 99
formation energy = 78 meV per atom

***

3.
Computed, not measured: an optimized crystal structure of Hf2SnMoBr at the PBEsol level of DFT.

abc: 5.0046 5.0046 5.1638
angles: 90.00 90.00 90.00
With the nearest neighbours (Å) after each atom.
Positions (direct):
Hf 0.0000 0.5000 0.0000  2 Mo 2.50
Hf 0.5000 0.0000 0.0000  2 Mo 2.50
Sn 0.0000 0.0000 0.5000  2 Mo 2.58
Mo 0.0000 0.0000 0.0000  4 Hf 2.50, 2 Sn 2.58
Br 0.5000 0.5000 0.5000  4 Sn 3.54, 8 Hf 3.60

SG = P4/mmm, No. 123
E_form (uncorrected) = 589 meV per atom

***

4.
Computed, not measured: an optimized crystal structure of TaRe2SiTc at the PBEsol level of DFT.

abc: 4.6023 4.6023 4.6869
angles: 90.00 90.00 90.00
With the nearest neighbours (Å) after each atom.
Positions (direct):
Ta 0.0000 0.0000 0.0000  2 Tc 2.34
Re 0.0000 0.5000 0.5000  2 Tc 2.30
Re 0.5000 0.0000 0.5000  2 Tc 2.30
Si 0.5000 0.5000 0.0000  4 Ta 3.25, 8 Re 3.28
Tc 0.0000 0.0000 0.5000  4 Re 2.30, 2 Ta 2.34

SG = P4/mmm, No. 123
E_form (uncorrected) = 1967 meV per atom